Computed, not measured: crystalline RbTlCl3 at its relaxed geometry at the GGA-PBE level of DFT.

The structure in CIF format:
```
data_RbTlCl3
_space_group_name_H-M_alt 'P 63/m m c'
_space_group_IT_number 194
_space_group_name_Hall '-P 6c 2c'
_cell_length_a 5.0564
_cell_length_b 5.0564
_cell_length_c 17.1537
_cell_angle_alpha 90.00
_cell_angle_beta 90.00
_cell_angle_gamma 120.00
loop_
_atom_site_label
_atom_site_fract_x
_atom_site_fract_y
_atom_site_fract_z
Rb1 0.0000 0.0000 0.0000
Tl1 0.3333 0.6667 0.2500
Cl1 0.0000 0.0000 0.2500
Cl2 0.3333 0.6667 0.0916
```

Output
**Crystal system**: hexagonal
**Energy**: -2.964 eV per atom

Computed, not measured: crystalline K4LiCd at its relaxed geometry at the GGA-PBE level of DFT.

The structure in CIF format:
```
data_K4LiCd
_space_group_name_H-M_alt 'F -4 3 m'
_space_group_IT_number 216
_space_group_name_Hall 'F -4 2 3'
_cell_length_a 11.103
_cell_length_b 11.103
_cell_length_c 11.103
_cell_angle_alpha 90.00
_cell_angle_beta 90.00
_cell_angle_gamma 90.00
loop_
_atom_site_label
_atom_site_fract_x
_atom_site_fract_y
_atom_site_fract_z
K1 0.125 0.125 0.125
Li1 0.250 0.250 0.750
Cd1 0.000 0.000 0.500
```

Output
**Crystal system**: cubic
**Energy**: -0.950 eV per atom

Computed, not measured: crystalline SmU2Si2Pt7 at its relaxed geometry at the GGA-PBE level of DFT.

The structure in CIF format:
```
data_SmU2Si2Pt7
_space_group_name_H-M_alt 'C 1 2/m 1'
_space_group_IT_number 12
_cell_length_a 5.801
_cell_length_b 5.688
_cell_length_c 13.844
_cell_angle_alpha 90.00
_cell_angle_beta 98.46
_cell_angle_gamma 90.00
loop_
_space_group_symop_operation_xyz
'x,y,z'
'-x,-y,-z'
'-x,y,-z'
'x,-y,z'
'x+1/2,y+1/2,z'
'-x+1/2,-y+1/2,-z'
'-x+1/2,y+1/2,-z'
'x+1/2,-y+1/2,z'
loop_
_atom_site_label
_atom_site_fract_x
_atom_site_fract_y
_atom_site_fract_z
Sm1 0.000 0.000 0.000
U1 0.119 0.000 0.359
Si1 0.094 0.500 0.258
Pt1 0.000 0.500 0.000
Pt2 0.142 0.500 0.431
Pt3 0.189 0.250 0.835
```

Output
**Crystal system**: monoclinic
**Energy**: -7.509 eV per atom

Computed, not measured: crystalline Rb2MgI2Cl2 at its relaxed geometry at the GGA-PBE level of DFT.

The structure in CIF format:
```
data_Rb2MgI2Cl2
_space_group_name_H-M_alt 'I 4/m m m'
_space_group_IT_number 139
_space_group_name_Hall '-I 4 2'
_cell_length_a 5.197
_cell_length_b 5.197
_cell_length_c 18.386
_cell_angle_alpha 90.00
_cell_angle_beta 90.00
_cell_angle_gamma 90.00
loop_
_atom_site_label
_atom_site_fract_x
_atom_site_fract_y
_atom_site_fract_z
Rb1 0.000 0.000 0.130
Mg1 0.000 0.000 0.500
I1 0.000 0.000 0.340
Cl1 0.000 0.500 0.000
```

Output
**Crystal system**: tetragonal
**Energy**: -3.104 eV per atom

What is the formula in the third record? SmU2Si2Pt7